Here is a relaxed structure of Ac2NpTl3Te6 from the Alexandria database. Energies are from GGA-PBE.

a = 8.184 Å, b = 14.143 Å, c = 8.591 Å
α = 90.00°, β = 108.42°, γ = 90.00°
Space group C2/m (No. 12)
Symmetry-distinct sites (fractional):
Ac1 0.000 0.166 0.000 [4 per cell]
Np1 0.000 0.500 0.000 [2 per cell]
Tl1 0.000 0.000 0.500 [2 per cell]
Tl2 0.000 0.331 0.500 [4 per cell]
Te1 0.234 0.341 0.223 [8 per cell]
Te2 0.243 0.500 0.773 [4 per cell]

Computed properties:
The uncorrected formation energy comes out at -0.9382 eV per atom. The calculation puts the total energy at -4.8638 eV per atom. The total magnetization comes out at 8.00 μB per cell.